# 1
SrIr5: optimized geometry, PBE. Values from VASP.

crystal system: tetragonal
spin magnetization: 0.00 μB per formula unit
formation enthalpy at 0 K: 207 meV/atom
Fermi-level density of states: 1.029 states/eV per atom

The structure in Quantum ESPRESSO input format:
```
&SYSTEM
  ibrav = 0, nat = 6, ntyp = 2
/
ATOMIC_SPECIES
Sr 87.62 Sr.upf
Ir 192.22 Ir.upf
CELL_PARAMETERS angstrom
2.818 0.000 0.000
0.000 2.818 0.000
0.000 0.000 12.474
ATOMIC_POSITIONS crystal
Sr 0.000 0.000 0.000
Ir 0.000 0.000 0.346
Ir 0.000 0.000 0.654
Ir 0.500 0.500 0.202
Ir 0.500 0.500 0.500
Ir 0.500 0.500 0.798
```

# 2
Ac2ReTe: optimized geometry, PBE. Values from VASP.

crystal system: trigonal
spin magnetization: 0.00 μB per formula unit
formation energy (no corrections): 0.72 eV per atom
Fermi-level density of states: 1.152 states/eV per atom

The structure in Quantum ESPRESSO input format:
```
&SYSTEM
  ibrav = 0, nat = 12, ntyp = 3
/
ATOMIC_SPECIES
Ac 227.00 Ac.upf
Re 186.21 Re.upf
Te 127.60 Te.upf
CELL_PARAMETERS angstrom
4.014 0.000 0.000
-2.007 3.476 0.000
0.000 0.000 30.501
ATOMIC_POSITIONS crystal
Ac 0.000 0.000 0.089
Ac 0.000 0.000 0.911
Ac 0.333 0.667 0.578
Ac 0.333 0.667 0.756
Ac 0.667 0.333 0.244
Ac 0.667 0.333 0.422
Re 0.000 0.000 0.000
Re 0.333 0.667 0.667
Re 0.667 0.333 0.333
Te 0.000 0.000 0.500
Te 0.333 0.667 0.167
Te 0.667 0.333 0.833
```

# 3
Er2Ag3GeTe6: optimized geometry, PBE. Values from VASP.

crystal system: monoclinic
spin magnetization: 0.00 μB per formula unit
formation energy (no corrections): -0.55 eV per atom
Fermi-level density of states: 0.289 states/eV per atom

The structure in Quantum ESPRESSO input format:
```
&SYSTEM
  ibrav = 0, nat = 12, ntyp = 4
/
ATOMIC_SPECIES
Er 167.26 Er.upf
Ag 107.87 Ag.upf
Ge 72.64 Ge.upf
Te 127.60 Te.upf
CELL_PARAMETERS angstrom
10.268 -2.103 0.000
10.268 2.103 0.000
-1.806 0.000 7.980
ATOMIC_POSITIONS crystal
Er 0.175 0.175 0.322
Er 0.825 0.825 0.678
Ag 0.210 0.210 0.858
Ag 0.500 0.500 0.500
Ag 0.790 0.790 0.142
Ge 0.500 0.500 0.000
Te 0.018 0.018 0.270
Te 0.328 0.328 0.408
Te 0.353 0.353 0.955
Te 0.647 0.647 0.045
Te 0.672 0.672 0.592
Te 0.982 0.982 0.730
```

# 4
MgAl2Zn2: optimized geometry, PBE. Values from VASP.

crystal system: tetragonal
spin magnetization: 0.00 μB per formula unit
formation enthalpy at 0 K: 73 meV/atom
Fermi-level density of states: 0.337 states/eV per atom

The structure in Quantum ESPRESSO input format:
```
&SYSTEM
  ibrav = 0, nat = 10, ntyp = 3
/
ATOMIC_SPECIES
Mg 24.30 Mg.upf
Al 26.98 Al.upf
Zn 65.41 Zn.upf
CELL_PARAMETERS angstrom
7.899 0.000 0.000
0.000 7.899 0.000
0.000 0.000 2.851
ATOMIC_POSITIONS crystal
Mg 0.000 0.000 0.000
Mg 0.500 0.500 0.000
Al 0.124 0.376 0.000
Al 0.376 0.876 0.000
Al 0.624 0.124 0.000
Al 0.876 0.624 0.000
Zn 0.174 0.674 0.500
Zn 0.326 0.174 0.500
Zn 0.674 0.826 0.500
Zn 0.826 0.326 0.500
```

# 5
PbC: optimized geometry, PBE. Values from VASP.

crystal system: trigonal
spin magnetization: 0.00 μB per formula unit
E above lowest polymorph: 234 meV per atom
formation enthalpy at 0 K: 1086 meV/atom
Fermi-level density of states: 0.600 states/eV per atom

The structure in Quantum ESPRESSO input format:
```
&SYSTEM
  ibrav = 0, nat = 12, ntyp = 2
/
ATOMIC_SPECIES
Pb 207.20 Pb.upf
C 12.01 C.upf
CELL_PARAMETERS angstrom
5.792 0.000 0.000
-2.896 5.016 0.000
0.000 0.000 9.446
ATOMIC_POSITIONS crystal
Pb 0.000 0.000 0.186
Pb 0.000 0.000 0.814
Pb 0.333 0.667 0.480
Pb 0.333 0.667 0.853
Pb 0.667 0.333 0.147
Pb 0.667 0.333 0.520
C 0.000 0.000 0.433
C 0.000 0.000 0.567
C 0.333 0.667 0.100
C 0.333 0.667 0.233
C 0.667 0.333 0.767
C 0.667 0.333 0.900
```

# 6
Ba2YTmO5: optimized geometry, PBE. Values from VASP.

crystal system: orthorhombic
spin magnetization: 0.00 μB per formula unit
formation energy (no corrections): -3.07 eV per atom
Fermi-level density of states: 0.000 states/eV per atom

The structure in Quantum ESPRESSO input format:
```
&SYSTEM
  ibrav = 0, nat = 18, ntyp = 4
/
ATOMIC_SPECIES
Ba 137.33 Ba.upf
Y 88.91 Y.upf
Tm 168.93 Tm.upf
O 16.00 O.upf
CELL_PARAMETERS angstrom
1.842 -7.161 0.000
1.842 7.161 0.000
0.000 0.000 12.355
ATOMIC_POSITIONS crystal
Ba 0.089 0.911 0.500
Ba 0.152 0.848 0.123
Ba 0.848 0.152 0.623
Ba 0.911 0.089 0.000
Y 0.223 0.777 0.850
Y 0.777 0.223 0.350
Tm 0.469 0.531 0.278
Tm 0.531 0.469 0.778
O 0.060 0.940 0.860
O 0.271 0.729 0.475
O 0.310 0.690 0.240
O 0.379 0.621 0.826
O 0.492 0.508 0.613
O 0.508 0.492 0.113
O 0.621 0.379 0.326
O 0.690 0.310 0.740
O 0.729 0.271 0.975
O 0.940 0.060 0.360
```

Which formula does entry 4 have? MgAl2Zn2

Look up the spin magnetization of the third one. 0.00 μB per formula unit

The lowest Fermi-level density of states belongs to which entry? Ba2YTmO5